VASP calculation (PBE-GGA) on an optimized crystal structure of NbI3Cl.

a = 5.6879 Å, b = 5.6879 Å, c = 5.6879 Å
α = 90.00°, β = 90.00°, γ = 90.00°
Positions (direct):
I 0.0000 0.5000 0.0000
Nb 0.5000 0.5000 0.5000
I 0.5000 0.0000 0.0000
Cl 0.0000 0.0000 0.0000
I 0.0000 0.0000 0.5000

Polymorph energy (0 for the lowest one), meV/atom: 1690.2
Magnetization, μB/cell: 3.6
Uncorrected formation energy, meV/atom: 1080
Uncorrected energy, eV per atom: -2.233
Symmetry: Pm-3m (221)
Density of states at the Fermi level, states/eV/cell: 6.95